{"formula": "Cu2SiBr", "functional": "GGA-PBE", "state": "relaxed", "lattice": [[-1.776, 1.776, 5.833], [1.776, -1.776, 5.833], [1.776, 1.776, -5.833]], "species": ["Cu", "Cu", "Si", "Br"], "frac_coords": [[0.000, 0.000, 0.000], [0.750, 0.250, 0.500], [0.250, 0.750, 0.500], [0.500, 0.500, 0.000]], "magnetic_moment_mub_per_fu": 0.0, "e_above_lowest_polymorph_ev_per_fu": 2.30, "dos_ef_per_ev_fu": 1.75, "raw_formation_energy_ev_per_atom": 0.500, "e_tot_ev_per_atom": -3.32}

***

{"formula": "Ac6Hg5Pt", "functional": "GGA-PBE", "state": "relaxed", "lattice": [[-2.825, 4.025, 8.428], [2.825, -4.025, 8.428], [2.825, 4.025, -8.428]], "species": ["Ac", "Ac", "Ac", "Ac", "Ac", "Ac", "Hg", "Hg", "Hg", "Hg", "Hg", "Pt"], "frac_coords": [[0.080, 0.343, 0.737], [0.231, 0.000, 0.231], [0.395, 0.657, 0.737], [0.605, 0.343, 0.263], [0.769, 0.000, 0.769], [0.920, 0.657, 0.263], [0.182, 0.182, 0.000], [0.333, 0.833, 0.500], [0.500, 0.500, 0.000], [0.667, 0.167, 0.500], [0.818, 0.818, 0.000], [0.000, 0.500, 0.500]], "ef_mev_per_atom": -576, "magnetic_moment_mub_per_fu": 0.0, "dos_ef_per_ev_fu": 8.59, "e_tot_ev_per_atom": -3.26}